1.
RbPmTeO | GGA-PBE | optimized geometry

The structure belongs to space group P4/nmm (No. 129, origin choice 2); the cell edges are 4.398, 4.398 and 10.941 Å and the angles 90.00°, 90.00° and 90.00°. Symmetry generates all atoms from Rb at (0.250, 0.750, 0.000), Pm at (0.250, 0.250, 0.413), Te at (0.250, 0.250, 0.759) and O at (0.250, 0.750, 0.500).

Its distance to the lowest polymorph of the same formula is 0.234 eV per atom. As for the total magnetic moment: 0.00 μB/cell.

2.
RbSrTm | GGA-PBE | optimized geometry

The structure belongs to space group F-43m (No. 216); the cell edges are 9.134, 9.134 and 9.134 Å and the angles 90.00°, 90.00° and 90.00°. Symmetry generates all atoms from Rb at (0.000, 0.000, 0.000), Sr at (0.000, 0.000, 0.500) and Tm at (0.250, 0.250, 0.250).

As for the total magnetic moment: 0.40 μB/cell.

3.
NdThFe | GGA-PBE | optimized geometry

The structure belongs to space group F-43m (No. 216); the cell edges are 6.786, 6.786 and 6.786 Å and the angles 90.00°, 90.00° and 90.00°. Symmetry generates all atoms from Nd at (0.000, 0.000, 0.000), Th at (0.000, 0.000, 0.500) and Fe at (0.250, 0.250, 0.250).

Its distance to the lowest polymorph of the same formula is 0.000 eV per atom. The calculation puts the energy relative to the elements at 0.214 eV per atom. As for the total magnetic moment: 0.00 μB/cell.

4.
NaAgMoSe3 | GGA-PBE | optimized geometry

The structure belongs to space group Cmcm (No. 63); the cell edges are 3.616, 13.943 and 10.197 Å and the angles 90.00°, 90.00° and 90.00°. Symmetry generates all atoms from Na at (0.000, 0.246, 0.250), Ag at (0.000, 0.439, 0.750), Mo at (0.000, 0.000, 0.000), Se at (0.000, 0.078, 0.750) and Se at (0.000, 0.364, 0.524).

As for the total magnetic moment: 7.16 μB/cell.

5.
RbZrRe | GGA-PBE | optimized geometry

The structure belongs to space group F-43m (No. 216); the cell edges are 6.784, 6.784 and 6.784 Å and the angles 90.00°, 90.00° and 90.00°. Symmetry generates all atoms from Rb at (0.000, 0.000, 0.000), Zr at (0.000, 0.000, 0.500) and Re at (0.250, 0.250, 0.250).

Its distance to the lowest polymorph of the same formula is 0.000 eV per atom. As for the total magnetic moment: 0.00 μB/cell.

6.
ScAlFeNi | GGA-PBE | optimized geometry

The structure belongs to space group F-43m (No. 216); the cell edges are 6.080, 6.080 and 6.080 Å and the angles 90.00°, 90.00° and 90.00°. Symmetry generates all atoms from Sc at (0.000, 0.000, 0.000), Al at (0.250, 0.250, 0.750), Fe at (0.000, 0.000, 0.500) and Ni at (0.250, 0.250, 0.250).

Its distance to the lowest polymorph of the same formula is 0.284 eV per atom. As for the total magnetic moment: 10.75 μB/cell.

7.
FeMoPd4 | GGA-PBE | optimized geometry

The structure belongs to space group Pmmm (No. 47); the cell edges are 2.762, 3.882 and 8.257 Å and the angles 90.00°, 90.00° and 90.00°. Symmetry generates all atoms from Fe at (0.000, 0.000, 0.000), Mo at (0.500, 0.500, 0.500), Pd at (0.000, 0.000, 0.334) and Pd at (0.500, 0.500, 0.163).

The calculation puts the energy relative to the elements at -0.091 eV per atom. As for the total magnetic moment: 3.28 μB/cell.

8.
BaMgTaCo | GGA-PBE | optimized geometry

The structure belongs to space group F-43m (No. 216); the cell edges are 6.965, 6.965 and 6.965 Å and the angles 90.00°, 90.00° and 90.00°. Symmetry generates all atoms from Ba at (0.000, 0.000, 0.000), Mg at (0.000, 0.000, 0.500), Ta at (0.250, 0.250, 0.750) and Co at (0.250, 0.250, 0.250).

Its distance to the lowest polymorph of the same formula is 0.213 eV per atom. As for the total magnetic moment: 0.13 μB/cell.

9.
CoW2N | GGA-PBE | optimized geometry

The structure belongs to space group C2/c (No. 15); the cell edges are 8.498, 4.909 and 14.298 Å and the angles 90.00°, 102.59° and 90.00°. Symmetry generates all atoms from Co at (0.000, 0.092, 0.250), Co at (0.246, 0.169, 0.751), W at (0.033, 0.417, 0.839), W at (0.112, 0.083, 0.092), W at (0.226, 0.081, 0.409), N at (0.082, 0.259, 0.495) and N at (0.250, 0.250, 0.000).

As for the total magnetic moment: 0.69 μB/cell.

10.
Au4O5 | GGA-PBE | optimized geometry

The structure belongs to space group P4/mmm (No. 123); the cell edges are 4.073, 4.073 and 6.927 Å and the angles 90.00°, 90.00° and 90.00°. Symmetry generates all atoms from Au at (0.000, 0.000, 0.000), Au at (0.000, 0.000, 0.500), Au at (0.500, 0.500, 0.195), O at (0.000, 0.500, 0.257) and O at (0.500, 0.500, 0.500).

11.
KU2S4 | GGA-PBE | optimized geometry

The structure belongs to space group Cmcm (No. 63); the cell edges are 3.989, 13.226 and 13.597 Å and the angles 90.00°, 90.00° and 90.00°. Symmetry generates all atoms from K at (0.000, 0.108, 0.250), U at (0.000, 0.367, 0.065), S at (0.000, 0.000, 0.000), S at (0.000, 0.264, 0.607) and S at (0.000, 0.427, 0.250).

As for the total magnetic moment: 19.92 μB/cell.

12.
Co3H | GGA-PBE | optimized geometry

The structure belongs to space group P6_3/mmc (No. 194); the cell edges are 4.8550, 4.8550 and 3.6980 Å and the angles 90.00°, 90.00° and 120.00°. Symmetry generates all atoms from Co at (0.1748, 0.3496, 0.2500) and H at (0.3333, 0.6667, 0.7500).

Its distance to the lowest polymorph of the same formula is 0.352 eV per atom. As for the total magnetic moment: 9.75 μB/cell.

13.
RbDyFeTe3 | GGA-PBE | optimized geometry

The structure belongs to space group P2_1/m (No. 11); the cell edges are 9.635, 4.311 and 11.205 Å and the angles 90.00°, 112.13° and 90.00°. Symmetry generates all atoms from Rb at (0.240, 0.250, 0.279), Dy at (0.328, 0.750, 0.853), Fe at (0.066, 0.250, 0.580), Te at (0.090, 0.250, 0.823), Te at (0.225, 0.750, 0.551) and Te at (0.445, 0.750, 0.146).

As for the total magnetic moment: 7.56 μB/cell.

14.
Al12Co17 | GGA-PBE | optimized geometry

The structure belongs to space group I-43m (No. 217); the cell edges are 8.904, 8.904 and 8.904 Å and the angles 90.00°, 90.00° and 90.00°. Symmetry generates all atoms from Al at (0.098, 0.098, 0.699), Co at (0.000, 0.000, 0.000), Co at (0.056, 0.360, 0.640) and Co at (0.171, 0.171, 0.171).

Its distance to the lowest polymorph of the same formula is 0.075 eV per atom. As for the total magnetic moment: 40.97 μB/cell.

15.
InNi3As | GGA-PBE | optimized geometry

The structure belongs to space group Pbcm (No. 57); the cell edges are 8.306, 6.636 and 5.066 Å and the angles 90.00°, 90.00° and 90.00°. Symmetry generates all atoms from In at (0.099, 0.103, 0.250), Ni at (0.154, 0.750, 0.000), Ni at (0.366, 0.250, 0.000), Ni at (0.394, 0.586, 0.750) and As at (0.345, 0.556, 0.250).

Its distance to the lowest polymorph of the same formula is 0.002 eV per atom. As for the total magnetic moment: 0.00 μB/cell.

16.
TmLuHf | GGA-PBE | optimized geometry

The structure belongs to space group F-43m (No. 216); the cell edges are 7.238, 7.238 and 7.238 Å and the angles 90.00°, 90.00° and 90.00°. Symmetry generates all atoms from Tm at (0.000, 0.000, 0.000), Lu at (0.000, 0.000, 0.500) and Hf at (0.250, 0.250, 0.750).

Its distance to the lowest polymorph of the same formula is 0.000 eV per atom. The calculation puts the energy relative to the elements at 0.856 eV per atom. As for the total magnetic moment: 2.79 μB/cell.

17.
ZnHO3 | GGA-PBE | optimized geometry

The structure belongs to space group Pm-3m (No. 221); the cell edges are 3.740, 3.740 and 3.740 Å and the angles 90.00°, 90.00° and 90.00°. Symmetry generates all atoms from Zn at (0.000, 0.000, 0.000), H at (0.500, 0.500, 0.500) and O at (0.000, 0.000, 0.500).

18.
ZnFeNiPb | GGA-PBE | optimized geometry

The structure belongs to space group F-43m (No. 216); the cell edges are 6.230, 6.230 and 6.230 Å and the angles 90.00°, 90.00° and 90.00°. Symmetry generates all atoms from Zn at (0.000, 0.000, 0.000), Fe at (0.250, 0.250, 0.250), Ni at (0.250, 0.250, 0.750) and Pb at (0.000, 0.000, 0.500).

Its distance to the lowest polymorph of the same formula is 0.000 eV per atom. As for the total magnetic moment: 8.65 μB/cell.

19.
Li4AlGaAu2 | GGA-PBE | optimized geometry

The structure belongs to space group P-4m2 (No. 115); the cell edges are 4.384, 4.384 and 6.191 Å and the angles 90.00°, 90.00° and 90.00°. Symmetry generates all atoms from Li at (0.000, 0.000, 0.000), Li at (0.000, 0.500, 0.745), Li at (0.500, 0.500, 0.500), Al at (0.500, 0.500, 0.000), Ga at (0.000, 0.000, 0.500) and Au at (0.000, 0.500, 0.242).

20.
PrGaPO | GGA-PBE | optimized geometry

The structure belongs to space group Pmc2_1 (No. 26); the cell edges are 4.559, 4.512 and 6.786 Å and the angles 90.00°, 90.00° and 90.00°. Symmetry generates all atoms from Pr at (0.000, 0.194, 0.000), Ga at (0.500, 0.321, 0.343), P at (0.500, 0.179, 0.693) and O at (0.000, 0.313, 0.348).

Its distance to the lowest polymorph of the same formula is 0.137 eV per atom. As for the total magnetic moment: 0.01 μB/cell.

Summary of raw total energy in eV per atom
-5.29, -1.43, -6.61, -4.56, -5.56, -6.12, -6.73, -4.41, -10.33, -3.51, -7.14, -5.63, -4.76, -5.84, -5.05, -5.46, -2.95, -4.42, -3.13, -6.01
(order as listed above)